First-principles (GGA-PBEsol) data for an optimized crystal structure of CaSc2CoCu, as listed in Alexandria via LeMat-Bulk.

Computed properties:
**Energy relative to the elements**: 1.62 eV/atom
**Magnetic moment**: 1.80 μB per formula unit
**Calculated total energy**: -19.3 eV/cell
**Volume**: 106.9 Å³/cell

Cell: 4.947 4.947 4.370 Å, 90.00 90.00 90.00°
Fractional positions:
Ca 0.000 0.000 0.000
Sc 0.000 0.500 0.000
Sc 0.500 0.000 0.000
Co 0.500 0.500 0.500
Cu 0.000 0.000 0.500

First-principles (GGA-PBEsol) data for an optimized crystal structure of CaCoF5, as listed in Alexandria via LeMat-Bulk.

Computed properties:
**Magnetic moment**: 0.69 μB per formula unit
**Calculated total energy**: -76.4 eV/cell
**Raw formation energy**: -2.67 eV/atom
**Volume**: 186.0 Å³/cell

Cell: 5.401 5.401 7.444 Å, 110.12 110.12 70.97°
Fractional positions:
Ca 0.047 0.953 0.750
Ca 0.953 0.047 0.250
Co 0.500 0.500 0.000
Co 0.500 0.500 0.500
F 0.197 0.779 0.026
F 0.221 0.803 0.474
F 0.255 0.294 0.385
F 0.294 0.255 0.885
F 0.433 0.567 0.750
F 0.567 0.433 0.250
F 0.706 0.745 0.115
F 0.745 0.706 0.615
F 0.779 0.197 0.526
F 0.803 0.221 0.974

First-principles (GGA-PBEsol) data for an optimized crystal structure of CaCoF5, as listed in Alexandria via LeMat-Bulk.

Computed properties:
**Magnetic moment**: 0.08 μB per formula unit
**Calculated total energy**: -152.9 eV/cell
**Raw formation energy**: -2.67 eV/atom
**Volume**: 361.1 Å³/cell

Cell: 5.324 9.902 7.267 Å, 90.00 109.52 90.00°
Fractional positions:
Ca 0.032 0.022 0.256
Ca 0.032 0.478 0.756
Ca 0.968 0.522 0.244
Ca 0.968 0.978 0.744
Co 0.390 0.246 0.599
Co 0.390 0.254 0.099
Co 0.610 0.746 0.901
Co 0.610 0.754 0.401
F 0.106 0.127 0.557
F 0.106 0.373 0.057
F 0.152 0.114 0.004
F 0.152 0.386 0.504
F 0.333 0.642 0.364
F 0.333 0.858 0.864
F 0.367 0.200 0.343
F 0.367 0.300 0.843
F 0.390 0.606 0.809
F 0.390 0.894 0.309
F 0.610 0.106 0.691
F 0.610 0.394 0.191
F 0.633 0.700 0.157
F 0.633 0.800 0.657
F 0.667 0.142 0.136
F 0.667 0.358 0.636
F 0.848 0.614 0.496
F 0.848 0.886 0.996
F 0.894 0.627 0.943
F 0.894 0.873 0.443

First-principles (GGA-PBEsol) data for an optimized crystal structure of CaCoI2F, as listed in Alexandria via LeMat-Bulk.

Computed properties:
**Magnetic moment**: 3.38 μB per formula unit
**Calculated total energy**: -13.7 eV/cell
**Raw formation energy**: 0.32 eV/atom
**Volume**: 196.7 Å³/cell

Cell: 5.782 5.782 5.884 Å, 90.00 90.00 90.00°
Fractional positions:
Ca 0.000 0.000 0.000
Co 0.000 0.000 0.500
I 0.000 0.500 0.000
I 0.500 0.000 0.000
F 0.500 0.500 0.500